Entry 1:
# LiDy2Tl2 | Alexandria | PBE | relaxed
# - offset from the most stable computed form (meV per atom) = 144
data_LiDy2Tl2
_chemical_formula_sum 'Li4 Dy8 Tl8'
_symmetry_space_group_name_H-M 'I b a m'
_symmetry_Int_Tables_number 72
_symmetry_space_group_name_Hall '-I 2 2c'
_cell_length_a 6.617
_cell_length_b 12.916
_cell_length_c 6.293
_cell_angle_alpha 90.00
_cell_angle_beta 90.00
_cell_angle_gamma 90.00
loop_
_atom_site_label
_atom_site_type_symbol
_atom_site_fract_x
_atom_site_fract_y
_atom_site_fract_z
_atom_site_occupancy
Li1 Li 0.000 0.000 0.250 1
Dy1 Dy 0.210 0.347 0.000 1
Tl1 Tl 0.241 0.108 0.000 1



Entry 2:
DFT (PBE) results for crystalline Li4Dy5Tl4 at its relaxed geometry.

Structure (CIF):
```
data_Li4Dy5Tl4
_chemical_formula_sum 'Li8 Dy10 Tl8'
_symmetry_space_group_name_H-M 'I 4/m'
_symmetry_Int_Tables_number 87
_symmetry_space_group_name_Hall '-I 4'
_cell_length_a 11.986
_cell_length_b 11.986
_cell_length_c 4.573
_cell_angle_alpha 90.00
_cell_angle_beta 90.00
_cell_angle_gamma 90.00
loop_
_atom_site_label
_atom_site_type_symbol
_atom_site_fract_x
_atom_site_fract_y
_atom_site_fract_z
_atom_site_occupancy
Li1 Li 0.072 0.603 0.000 1
Dy1 Dy 0.000 0.000 0.500 1
Dy2 Dy 0.126 0.203 0.000 1
Tl1 Tl 0.061 0.744 0.500 1
```



Entry 3:
DFT (PBE) results for crystalline LiDyTl3 at its relaxed geometry.

Structure (CIF):
```
data_LiDyTl3
_chemical_formula_sum 'Li4 Dy4 Tl12'
_symmetry_space_group_name_H-M 'C 1 2/m 1'
_symmetry_Int_Tables_number 12
_cell_length_a 25.003
_cell_length_b 4.553
_cell_length_c 4.665
_cell_angle_alpha 90.00
_cell_angle_beta 100.51
_cell_angle_gamma 90.00
loop_
_symmetry_equiv_pos_as_xyz
'x,y,z'
'-x,-y,-z'
'-x,y,-z'
'x,-y,z'
'x+1/2,y+1/2,z'
'-x+1/2,-y+1/2,-z'
'-x+1/2,y+1/2,-z'
'x+1/2,-y+1/2,z'
loop_
_atom_site_label
_atom_site_type_symbol
_atom_site_fract_x
_atom_site_fract_y
_atom_site_fract_z
_atom_site_occupancy
Li1 Li 0.140 0.000 0.390 1
Dy1 Dy 0.067 0.500 0.816 1
Tl1 Tl 0.037 0.000 0.286 1
Tl2 Tl 0.197 0.000 0.947 1
Tl3 Tl 0.201 0.500 0.451 1
```



Q: Which E_tot values were calculated for the entries above? A: -3.30 -3.33 -2.81, in eV per atom.